# 1
Compound: Ta2TlCo
Source: Alexandria via LeMat-Bulk
Functional: PBE-GGA
Structure: optimized geometry

Cell: 5.360 5.360 4.896 Å, 113.89 113.89 33.28°
Fractional positions:
Ta (0.000, 0.000, 0.000)
Ta (0.230, 0.230, 0.778)
Tl (0.441, 0.441, 0.446)
Co (0.700, 0.700, 0.307)

Excess energy over the best structure of this formula in the dataset = 0.54 eV per formula unit
SG = No. 8
Spin magnetization = 0.104 μB per atom
Energy relative to the elements = 362 meV per atom

---

# 2
Compound: Ta2TlCo
Source: Alexandria via LeMat-Bulk
Functional: PBE-GGA
Structure: optimized geometry

Cell: 3.122 3.122 7.334 Å, 90.00 90.00 90.00°
Fractional positions:
Ta (0.000, 0.000, 0.000)
Ta (0.500, 0.500, 0.263)
Tl (0.000, 0.000, 0.570)
Co (0.500, 0.500, 0.835)

Excess energy over the best structure of this formula in the dataset = 0.00 eV per formula unit
SG = No. 99
Spin magnetization = 0.000 μB per atom
Energy relative to the elements = 225 meV per atom